No. 1
VASP calculation (GGA-PBE) on Zr2Zn2Rh3 after structural relaxation.

Cell lengths 4.5806, 4.5613, 7.6590 Å; angles 89.98, 117.81, 119.77 degrees
Sites, in units of the cell vectors:
Zn 0.5928 0.7967 0.6012
Zn 0.4072 0.2033 0.3988
Rh 0.3975 0.1989 0.7386
Rh 0.6025 0.8011 0.2614
Rh 0.0000 0.0000 0.0000
Zr 0.8397 0.4198 0.1694
Zr 0.1603 0.5802 0.8306

Calculated values
M_tot in μB/cell: 0.00
Total energy in eV per formula unit: -46.3
V in Å³ per atom: 16.7
SG: No. 2

***

No. 2
VASP calculation (GGA-PBE) on Zr2ZnRh2 after structural relaxation.

Cell lengths 7.2851, 7.2851, 3.4314 Å; angles 90.00, 90.00, 90.00 degrees
Sites, in units of the cell vectors:
Rh 0.1356 0.3644 0.0000
Rh 0.8644 0.6356 0.0000
Rh 0.6356 0.1356 0.0000
Rh 0.3644 0.8644 0.0000
Zn 0.5000 0.5000 0.0000
Zn 0.0000 0.0000 0.0000
Zr 0.3310 0.1690 0.5000
Zr 0.6690 0.8310 0.5000
Zr 0.8310 0.3310 0.5000
Zr 0.1690 0.6690 0.5000

Calculated values
M_tot in μB/cell: 0.00
Total energy in eV per formula unit: -36.1
V in Å³ per atom: 18.2
SG: No. 127

***

No. 3
VASP calculation (GGA-PBE) on Zr2ZnRh after structural relaxation.

Cell lengths 5.6237, 5.6237, 5.6237 Å; angles 145.18, 132.48, 60.24 degrees
Sites, in units of the cell vectors:
Zr 0.7277 0.2277 0.5000
Zr 0.9973 0.9973 0.0000
Rh 0.4980 0.4980 0.0000
Zn 0.2771 0.7771 0.5000

Calculated values
M_tot in μB/cell: 0.00
Total energy in eV per formula unit: -27.3
V in Å³ per atom: 18.5
SG: No. 44

***

No. 4
VASP calculation (GGA-PBE) on ZrZn2Rh after structural relaxation.

Cell lengths 4.5341, 2.9417, 5.0920 Å; angles 77.56, 90.00, 90.00 degrees
Sites, in units of the cell vectors:
Rh 0.5000 0.7500 0.7500
Zn 0.0000 0.8884 0.9797
Zn 0.0000 0.6116 0.5203
Zr 0.5000 0.2500 0.2500

Calculated values
M_tot in μB/cell: 0.00
Total energy in eV per formula unit: -19.8
V in Å³ per atom: 16.6
SG: No. 10